Density functional theory data (PBE) for crystalline PaCuHg2 at its relaxed geometry.

Calculated values
SG = R-3m (166)
Size of the total moment = 0.8 μB/f.u.
Energy relative to the elements = 0.38 eV/atom

Cell lengths 10.8570, 10.8570, 10.8570 Å; angles 16.57, 16.57, 16.57 degrees
Positions (direct):
Pa (0.0000, 0.0000, 0.0000)
Cu (0.5000, 0.5000, 0.5000)
Hg (0.0996, 0.0996, 0.0996)
Hg (0.9004, 0.9004, 0.9004)